VASP calculation (SCAN) on a PBEsol-optimized structure of BaTeAu2.

Computed properties:
electronic total energy: -54.23 eV per atom
E_form (uncorrected): -451 meV per atom

Cell: 3.8313 3.8313 7.5423 Å, 90.00 90.00 90.00°
With the nearest neighbours (Å) after each atom.
Fractional coordinates of all 4 atoms:
1 Au 0.0000 0.0000 0.0858  4 Au 2.75
2 Au 0.5000 0.5000 0.1491  4 Au 2.75, 1 Te 2.86
3 Ba 0.0000 0.0000 0.4956  1 Au 3.09, 4 Te 3.41
4 Te 0.5000 0.5000 0.7695  1 Au 2.86